LaAlW3 | the Alexandria database | GGA-PBE | optimized geometry; energy relative to the lowest polymorph listed for this composition = 1.433 eV per atom; E_form = 2.93 eV/atom; SG = No. 221; total DFT energy (no corrections) = -6.578 eV/atom
1.0
4.855 0.000 0.000
0.000 4.855 0.000
0.000 0.000 4.855
La Al W
1 1 3
Direct
0.000 0.000 0.000
0.500 0.500 0.500
0.000 0.000 0.500
0.000 0.500 0.000
0.500 0.000 0.000